Entry 1:
Entry from the Alexandria database: an optimized crystal structure of CaTbAg2 (PBE).

## Properties
- Crystal system: tetragonal
- Volume: 100 Å³/cell
- Electronic total energy: -3.4047 eV per atom
- E_form: -321 meV per atom

Cell: 3.684 3.684 7.392 Å, 90.00 90.00 90.00°
Space group P4/mmm (No. 123)
One atom of each set of equivalent atoms:
Ca (0.000, 0.000, 0.000) x1
Tb (0.000, 0.000, 0.500) x1
Ag (0.500, 0.500, 0.270) x2



Entry 2:
Entry from the Alexandria database: an optimized crystal structure of CaTbAg6 (PBE).

## Properties
- Crystal system: cubic
- Energy above the lowest structure with this stoichiometry: 7 meV/atom
- Volume: 167 Å³/cell
- Electronic total energy: -3.1563 eV per atom
- E_form: -189 meV per atom

Cell: 5.506 5.506 5.506 Å, 90.00 90.00 90.00°
Space group Pm-3 (No. 200)
One atom of each set of equivalent atoms:
Ca (0.000, 0.000, 0.000) x1
Tb (0.500, 0.500, 0.500) x1
Ag (0.000, 0.250, 0.500) x6



Entry 3:
Entry from the Alexandria database: an optimized crystal structure of Ca2TbAg (PBE).

## Properties
- Crystal system: trigonal
- Energy above the lowest structure with this stoichiometry: 228 meV/atom
- Volume: 397 Å³/cell
- Electronic total energy: -2.7033 eV per atom
- E_form: 168 meV per atom

Cell: 3.6442 3.6442 34.5093 Å, 90.00 90.00 120.00°
Space group R-3m (No. 166, hexagonal axes)
One atom of each set of equivalent atoms:
Ca (0.0000, 0.0000, 0.1011) x6
Tb (0.0000, 0.0000, 0.0000) x3
Ag (0.0000, 0.0000, 0.5000) x3